No. 1
A relaxed structure of SrScAl2, computed with PBE-GGA.

```
SrScAl2
1.0
5.144 0.000 0.000
2.572 4.455 0.000
2.572 1.485 4.200
Sc Sr Al
1 1 2
Direct
0.500 0.500 0.500 Sc
0.750 0.750 0.750 Sr
0.000 0.000 0.000 Al
0.250 0.250 0.250 Al
```

Computed properties:
Distance to the lowest polymorph of the same formula (eV per atom): 0.484
Magnetization (Bohr magnetons per cell): 0.01
Space-group type: F-43m, No. 216
Crystal system: cubic
Calculated formation energy (eV/atom): 0.23



No. 2
A relaxed structure of SrScAl, computed with PBE-GGA.

```
SrScAl
1.0
-0.283 -2.560 2.252
-2.239 -1.564 -2.059
8.710 -8.541 -8.619
Sc Sr Al
2 2 2
Direct
0.194 0.049 0.816 Sc
0.694 0.893 0.467 Sc
0.694 0.348 0.019 Sr
0.194 0.594 0.265 Sr
0.694 0.672 0.691 Al
0.194 0.270 0.593 Al
```

Computed properties:
Distance to the lowest polymorph of the same formula (eV per atom): 0.228
Magnetization (Bohr magnetons per cell): 0.00
Space-group type: P2_1/m, No. 11
Crystal system: monoclinic
Calculated formation energy (eV/atom): 0.06



Number 1: E_tot -3.65 eV per atom. Number 2: E_tot -3.86 eV per atom.